a | RbLaSb2 | PBE-GGA | optimized geometry Values from VASP.

## Properties
Spin magnetization (μB/cell): 0.0
SG: I-42d

The structure in Quantum ESPRESSO input format:
```
&SYSTEM
  ibrav = 0, nat = 8, ntyp = 3
/
ATOMIC_SPECIES
Rb 85.47 Rb.upf
La 138.91 La.upf
Sb 121.76 Sb.upf
ATOMIC_POSITIONS crystal
Rb 0.000 0.000 0.000
Rb 0.750 0.250 0.500
La 0.250 0.750 0.500
La 0.500 0.500 0.000
Sb 0.304 0.625 0.179
Sb 0.375 0.554 0.679
Sb 0.446 0.125 0.821
Sb 0.875 0.696 0.321
CELL_PARAMETERS angstrom
-3.198 3.198 10.390
3.198 -3.198 10.390
3.198 3.198 -10.390
```

***

b | RbLaSb2 | PBE-GGA | optimized geometry Values from VASP.

## Properties
Spin magnetization (μB/cell): 0.0
SG: Fm-3m

The structure in Quantum ESPRESSO input format:
```
&SYSTEM
  ibrav = 0, nat = 4, ntyp = 3
/
ATOMIC_SPECIES
Rb 85.47 Rb.upf
La 138.91 La.upf
Sb 121.76 Sb.upf
ATOMIC_POSITIONS crystal
Rb 0.000 0.000 0.000
La 0.500 0.500 0.500
Sb 0.250 0.250 0.250
Sb 0.750 0.750 0.750
CELL_PARAMETERS angstrom
0.000 4.079 4.079
4.079 0.000 4.079
4.079 4.079 0.000
```

***

Top of the stability list: b, leading by 8.2 kJ/mol of atoms.

***

a | RbLaSc2 | PBE-GGA | optimized geometry Values from VASP.

## Properties
Spin magnetization (μB/cell): 0.0
SG: Fm-3m

The structure in Quantum ESPRESSO input format:
```
&SYSTEM
  ibrav = 0, nat = 4, ntyp = 3
/
ATOMIC_SPECIES
Rb 85.47 Rb.upf
La 138.91 La.upf
Sc 44.96 Sc.upf
ATOMIC_POSITIONS crystal
Rb 0.000 0.000 0.000
La 0.500 0.500 0.500
Sc 0.250 0.250 0.250
Sc 0.750 0.750 0.750
CELL_PARAMETERS angstrom
0.000 4.098 4.098
4.098 0.000 4.098
4.098 4.098 0.000
```

***

b | RbLaSc2 | PBE-GGA | optimized geometry Values from VASP.

## Properties
Spin magnetization (μB/cell): 0.0
SG: I-42d

The structure in Quantum ESPRESSO input format:
```
&SYSTEM
  ibrav = 0, nat = 8, ntyp = 3
/
ATOMIC_SPECIES
Rb 85.47 Rb.upf
La 138.91 La.upf
Sc 44.96 Sc.upf
ATOMIC_POSITIONS crystal
Rb 0.000 0.000 0.000
Rb 0.750 0.250 0.500
La 0.250 0.750 0.500
La 0.500 0.500 0.000
Sc 0.148 0.625 0.023
Sc 0.375 0.398 0.523
Sc 0.602 0.125 0.977
Sc 0.875 0.852 0.477
CELL_PARAMETERS angstrom
-2.363 2.363 12.168
2.363 -2.363 12.168
2.363 2.363 -12.168
```

***

Top of the stability list: a, leading by 16.7 kJ/mol of atoms.

***

a | RbLa3Sc | PBE-GGA | optimized geometry Values from VASP.

## Properties
Spin magnetization (μB/cell): 0.0
SG: Pm-3m

The structure in Quantum ESPRESSO input format:
```
&SYSTEM
  ibrav = 0, nat = 5, ntyp = 3
/
ATOMIC_SPECIES
Rb 85.47 Rb.upf
La 138.91 La.upf
Sc 44.96 Sc.upf
ATOMIC_POSITIONS crystal
Rb 0.000 0.000 0.000
La 0.000 0.000 0.500
La 0.000 0.500 0.000
La 0.500 0.000 0.000
Sc 0.500 0.500 0.500
CELL_PARAMETERS angstrom
5.727 0.000 0.000
0.000 5.727 0.000
0.000 0.000 5.727
```

***

b | RbLa3Sc | PBE-GGA | optimized geometry Values from VASP.

## Properties
Spin magnetization (μB/cell): 0.0
SG: Pm-3m

The structure in Quantum ESPRESSO input format:
```
&SYSTEM
  ibrav = 0, nat = 5, ntyp = 3
/
ATOMIC_SPECIES
Rb 85.47 Rb.upf
La 138.91 La.upf
Sc 44.96 Sc.upf
ATOMIC_POSITIONS crystal
Rb 0.000 0.000 0.000
La 0.000 0.500 0.500
La 0.500 0.000 0.500
La 0.500 0.500 0.000
Sc 0.500 0.500 0.500
CELL_PARAMETERS angstrom
6.057 0.000 0.000
0.000 6.057 0.000
0.000 0.000 6.057
```

***

Top of the stability list: b, leading by 53.1 kJ/mol of atoms.

***

a | RbLa2Sc2 | PBE-GGA | optimized geometry Values from VASP.

## Properties
Spin magnetization (μB/cell): 0.0
SG: P4/mbm

The structure in Quantum ESPRESSO input format:
```
&SYSTEM
  ibrav = 0, nat = 10, ntyp = 3
/
ATOMIC_SPECIES
Rb 85.47 Rb.upf
La 138.91 La.upf
Sc 44.96 Sc.upf
ATOMIC_POSITIONS crystal
Rb 0.000 0.000 0.000
Rb 0.500 0.500 0.000
La 0.124 0.376 0.000
La 0.376 0.876 0.000
La 0.624 0.124 0.000
La 0.876 0.624 0.000
Sc 0.158 0.658 0.500
Sc 0.342 0.158 0.500
Sc 0.658 0.842 0.500
Sc 0.842 0.342 0.500
CELL_PARAMETERS angstrom
10.201 0.000 0.000
0.000 10.201 0.000
0.000 0.000 3.571
```

***

b | RbLa2Sc2 | PBE-GGA | optimized geometry Values from VASP.

## Properties
Spin magnetization (μB/cell): 0.0
SG: P4/mbm

The structure in Quantum ESPRESSO input format:
```
&SYSTEM
  ibrav = 0, nat = 10, ntyp = 3
/
ATOMIC_SPECIES
Rb 85.47 Rb.upf
La 138.91 La.upf
Sc 44.96 Sc.upf
ATOMIC_POSITIONS crystal
Rb 0.000 0.000 0.000
Rb 0.500 0.500 0.000
La 0.177 0.323 0.500
La 0.323 0.823 0.500
La 0.677 0.177 0.500
La 0.823 0.677 0.500
Sc 0.108 0.608 0.000
Sc 0.392 0.108 0.000
Sc 0.608 0.892 0.000
Sc 0.892 0.392 0.000
CELL_PARAMETERS angstrom
10.163 0.000 0.000
0.000 10.163 0.000
0.000 0.000 3.487
```

***

Top of the stability list: b, leading by 4.7 kJ/mol of atoms.

***

a | RbLaSi2 | PBE-GGA | optimized geometry Values from VASP.

## Properties
Spin magnetization (μB/cell): 0.0
SG: I4_1/amd

The structure in Quantum ESPRESSO input format:
```
&SYSTEM
  ibrav = 0, nat = 8, ntyp = 3
/
ATOMIC_SPECIES
Rb 85.47 Rb.upf
La 138.91 La.upf
Si 28.09 Si.upf
ATOMIC_POSITIONS crystal
Rb 0.375 0.625 0.750
Rb 0.625 0.375 0.250
La 0.125 0.875 0.250
La 0.875 0.125 0.750
Si 0.000 0.000 0.000
Si 0.000 0.000 0.500
Si 0.000 0.500 0.000
Si 0.500 0.000 0.500
CELL_PARAMETERS angstrom
-2.666 2.666 10.513
2.666 -2.666 10.513
2.666 2.666 -10.513
```

***

b | RbLaSi2 | PBE-GGA | optimized geometry Values from VASP.

## Properties
Spin magnetization (μB/cell): 0.0
SG: Fm-3m

The structure in Quantum ESPRESSO input format:
```
&SYSTEM
  ibrav = 0, nat = 4, ntyp = 3
/
ATOMIC_SPECIES
Rb 85.47 Rb.upf
La 138.91 La.upf
Si 28.09 Si.upf
ATOMIC_POSITIONS crystal
Rb 0.000 0.000 0.000
La 0.500 0.500 0.500
Si 0.250 0.250 0.250
Si 0.750 0.750 0.750
CELL_PARAMETERS angstrom
0.000 3.825 3.825
3.825 0.000 3.825
3.825 3.825 0.000
```

***

Top of the stability list: b, leading by 12.0 kJ/mol of atoms.

***

a | RbLaSn2 | PBE-GGA | optimized geometry Values from VASP.

## Properties
Spin magnetization (μB/cell): 0.0
SG: Fm-3m

The structure in Quantum ESPRESSO input format:
```
&SYSTEM
  ibrav = 0, nat = 4, ntyp = 3
/
ATOMIC_SPECIES
Rb 85.47 Rb.upf
La 138.91 La.upf
Sn 118.71 Sn.upf
ATOMIC_POSITIONS crystal
Rb 0.000 0.000 0.000
La 0.500 0.500 0.500
Sn 0.250 0.250 0.250
Sn 0.750 0.750 0.750
CELL_PARAMETERS angstrom
0.000 4.080 4.080
4.080 0.000 4.080
4.080 4.080 0.000
```

***

b | RbLaSn2 | PBE-GGA | optimized geometry Values from VASP.

## Properties
Spin magnetization (μB/cell): 0.0
SG: I-42d

The structure in Quantum ESPRESSO input format:
```
&SYSTEM
  ibrav = 0, nat = 8, ntyp = 3
/
ATOMIC_SPECIES
Rb 85.47 Rb.upf
La 138.91 La.upf
Sn 118.71 Sn.upf
ATOMIC_POSITIONS crystal
Rb 0.000 0.000 0.000
Rb 0.750 0.250 0.500
La 0.250 0.750 0.500
La 0.500 0.500 0.000
Sn 0.251 0.625 0.126
Sn 0.375 0.501 0.626
Sn 0.499 0.125 0.874
Sn 0.875 0.749 0.374
CELL_PARAMETERS angstrom
-2.890 2.890 11.117
2.890 -2.890 11.117
2.890 2.890 -11.117
```

***

Top of the stability list: a, leading by 21.6 kJ/mol of atoms.

***

a | RbSrLa3 | PBE-GGA | optimized geometry Values from VASP.

## Properties
Spin magnetization (μB/cell): 0.0
SG: Pm-3m

The structure in Quantum ESPRESSO input format:
```
&SYSTEM
  ibrav = 0, nat = 5, ntyp = 3
/
ATOMIC_SPECIES
Rb 85.47 Rb.upf
Sr 87.62 Sr.upf
La 138.91 La.upf
ATOMIC_POSITIONS crystal
Rb 0.000 0.000 0.000
Sr 0.500 0.500 0.500
La 0.000 0.500 0.500
La 0.500 0.000 0.500
La 0.500 0.500 0.000
CELL_PARAMETERS angstrom
6.315 0.000 0.000
0.000 6.315 0.000
0.000 0.000 6.315
```

***

b | RbSrLa3 | PBE-GGA | optimized geometry Values from VASP.

## Properties
Spin magnetization (μB/cell): 0.0
SG: Pm-3m

The structure in Quantum ESPRESSO input format:
```
&SYSTEM
  ibrav = 0, nat = 5, ntyp = 3
/
ATOMIC_SPECIES
Rb 85.47 Rb.upf
Sr 87.62 Sr.upf
La 138.91 La.upf
ATOMIC_POSITIONS crystal
Rb 0.000 0.000 0.000
Sr 0.500 0.500 0.500
La 0.000 0.000 0.500
La 0.000 0.500 0.000
La 0.500 0.000 0.000
CELL_PARAMETERS angstrom
6.019 0.000 0.000
0.000 6.019 0.000
0.000 0.000 6.019
```

***

Top of the stability list: a, leading by 0.7 kJ/mol of atoms.

***

a | RbSr2La2 | PBE-GGA | optimized geometry Values from VASP.

## Properties
Spin magnetization (μB/cell): 2.0
SG: P4/mbm

The structure in Quantum ESPRESSO input format:
```
&SYSTEM
  ibrav = 0, nat = 10, ntyp = 3
/
ATOMIC_SPECIES
Rb 85.47 Rb.upf
Sr 87.62 Sr.upf
La 138.91 La.upf
ATOMIC_POSITIONS crystal
Rb 0.000 0.000 0.000
Rb 0.500 0.500 0.000
Sr 0.183 0.317 0.000
Sr 0.317 0.817 0.000
Sr 0.683 0.183 0.000
Sr 0.817 0.683 0.000
La 0.097 0.597 0.500
La 0.403 0.097 0.500
La 0.597 0.903 0.500
La 0.903 0.403 0.500
CELL_PARAMETERS angstrom
11.491 0.000 0.000
0.000 11.491 0.000
0.000 0.000 3.965
```

***

b | RbSr2La2 | PBE-GGA | optimized geometry Values from VASP.

## Properties
Spin magnetization (μB/cell): 3.1
SG: P4/mbm

The structure in Quantum ESPRESSO input format:
```
&SYSTEM
  ibrav = 0, nat = 10, ntyp = 3
/
ATOMIC_SPECIES
Rb 85.47 Rb.upf
Sr 87.62 Sr.upf
La 138.91 La.upf
ATOMIC_POSITIONS crystal
Rb 0.000 0.000 0.000
Rb 0.500 0.500 0.000
Sr 0.186 0.314 0.500
Sr 0.314 0.814 0.500
Sr 0.686 0.186 0.500
Sr 0.814 0.686 0.500
La 0.096 0.596 0.000
La 0.404 0.096 0.000
La 0.596 0.904 0.000
La 0.904 0.404 0.000
CELL_PARAMETERS angstrom
11.385 0.000 0.000
0.000 11.385 0.000
0.000 0.000 4.040
```

***

Top of the stability list: b, leading by 2.0 kJ/mol of atoms.